(1)
Density functional theory data (PBE) for crystalline BPdF3 at its relaxed geometry.

abc: 3.741 3.741 3.741
angles: 90.00 90.00 90.00
Site moments in Bohr magnetons follow the coordinates.
Sites, in units of the cell vectors:
B (0.000, 0.000, 0.000)  -0.04
F (0.000, 0.000, 0.500)  0.01
Pd (0.500, 0.500, 0.500)  0.59
F (0.000, 0.500, 0.000)  0.03
F (0.500, 0.000, 0.000)  0.01

The uncorrected formation energy comes out at -0.47 eV per atom. The value obtained for the density of states at the Fermi level is 9.72 states/eV/cell. As for the symmetry: Pm-3m. The total energy comes out at -3.970 eV/atom.

(2)
Density functional theory data (PBE) for crystalline BPdF3 at its relaxed geometry.

abc: 4.215 4.215 4.215
angles: 90.00 90.00 90.00
Sites, in units of the cell vectors:
Pd (0.000, 0.000, 0.000)
B (0.500, 0.500, 0.500)
F (0.000, 0.500, 0.000)
F (0.000, 0.000, 0.500)
F (0.500, 0.000, 0.000)

The uncorrected formation energy comes out at -0.14 eV per atom. The value obtained for the density of states at the Fermi level is 1.79 states/eV/cell. As for the symmetry: Pm-3m. The total energy comes out at -3.638 eV/atom.

(3)
Density functional theory data (PBE) for crystalline BPdF at its relaxed geometry.

abc: 2.785 2.785 9.774
angles: 90.00 90.00 90.00
Sites, in units of the cell vectors:
B (0.000, 0.500, 0.773)
F (0.500, 0.000, 0.363)
B (0.500, 0.000, 0.227)
F (0.000, 0.500, 0.637)
Pd (0.500, 0.000, 0.881)
Pd (0.000, 0.500, 0.119)

The uncorrected formation energy comes out at -1.17 eV per atom. The value obtained for the density of states at the Fermi level is 1.54 states/eV/cell. As for the symmetry: P4/nmm. The total energy comes out at -5.749 eV/atom.

(4)
Density functional theory data (PBE) for crystalline B3PdF at its relaxed geometry.

abc: 3.744 3.744 3.744
angles: 90.00 90.00 90.00
Sites, in units of the cell vectors:
F (0.000, 0.000, 0.000)
B (0.000, 0.000, 0.500)
B (0.000, 0.500, 0.000)
Pd (0.500, 0.500, 0.500)
B (0.500, 0.000, 0.000)

The uncorrected formation energy comes out at 1.71 eV per atom. The value obtained for the density of states at the Fermi level is 1.43 states/eV/cell. As for the symmetry: Pm-3m. The total energy comes out at -3.708 eV/atom.